1 | BeCrP2O | GGA+U | optimized geometry

a b c (Å): 4.735 4.735 3.468
angles (deg): 90.00 90.00 90.00
Sites, in units of the cell vectors:
Cr 0.000 0.000 0.000
Be 0.500 0.500 0.500
O 0.000 0.000 0.500
P 0.000 0.500 0.000
P 0.500 0.000 0.000

***

2 | BeCrP2O | GGA+U | optimized geometry

a b c (Å): 4.897 4.897 2.902
angles (deg): 90.00 90.00 90.00
Sites, in units of the cell vectors:
Cr 0.500 0.500 0.500
Be 0.000 0.000 0.000
O 0.000 0.000 0.500
P 0.000 0.500 0.000
P 0.500 0.000 0.000

***

Question: of the structures shown, which is the least stable? Reply: 1.